The following is a DFT calculation (meta-GGA SCAN) of HfBeSbI2 at its PBEsol-relaxed geometry.

Values from the calculation:
ΔE_f (raw) = 0.7090 eV per atom

POSCAR file:
```
HfBeSbI2
1.0
4.8876 0.0000 0.0000
0.0000 4.8876 0.0000
0.0000 0.0000 5.1507
Hf Be I Sb
1 1 2 1
Direct
0.5000 0.5000 0.5000
0.0000 0.0000 0.0000
0.5000 0.0000 0.0000
0.0000 0.5000 0.0000
0.0000 0.0000 0.5000
```